[1]
A plane-wave DFT calculation with GGA-PBE was carried out for a geometry-optimized CaCr2As structure.

space-group type = R-3m, No. 166
theoretical density = 4.20 g/cm³
E_tot = -6.193 eV per atom
calculated volume = 87 Å³/cell

Structure (extended XYZ):
```
4
Lattice="-1.0161 -5.8928 -1.1531 2.7731 -5.3808 0.6667 -0.7435 -5.2351 3.0212" Properties=species:S:1:pos:R:3 pbc="T T T"
As 0.2534 -4.1272 0.6337
Ca 0.7601 -12.3815 1.9010
Cr 0.9673 -15.7577 2.4194
Cr 0.5528 -9.0053 1.3826
```

***

[2]
A plane-wave DFT calculation with GGA-PBE was carried out for a geometry-optimized CaCrAs structure.

space-group type = I4mm, No. 107
theoretical density = 4.30 g/cm³
E_tot = -5.575 eV per atom
calculated volume = 64 Å³/cell

Structure (extended XYZ):
```
3
Lattice="-5.4488 -1.6454 -1.5928 -1.8743 -4.4860 -3.3609 3.5114 1.6411 4.4621" Properties=species:S:1:pos:R:3 pbc="T T T"
Cr -4.5373 -3.7990 -3.0693
As -0.2957 -0.2476 -0.2001
Ca -2.4900 -2.0848 -1.6844
```

***

[3]
A plane-wave DFT calculation with GGA-PBE was carried out for a geometry-optimized CaCrAs2 structure.

space-group type = R3m, No. 160
energy above the lowest structure with this stoichiometry = 859 meV/atom
theoretical density = 4.44 g/cm³
E_tot = -4.947 eV per atom
calculated volume = 90 Å³/cell

Structure (extended XYZ):
```
4
Lattice="8.7054 -0.1886 -0.1113 8.0723 3.2644 -0.1113 8.0723 1.4799 2.9118" Properties=species:S:1:pos:R:3 pbc="T T T"
Ca 12.4853 2.2889 1.3511
Cr 18.1569 3.3287 1.9649
As 0.2194 0.0402 0.0237
As 6.4135 1.1758 0.6941
```

***

[4]
A plane-wave DFT calculation with GGA-PBE was carried out for a geometry-optimized CaCr2As structure.

space-group type = P2/m, No. 10
theoretical density = 4.60 g/cm³
E_tot = -6.156 eV per atom
calculated volume = 79 Å³/cell

Structure (extended XYZ):
```
4
Lattice="-1.3849 4.1162 1.6414 -3.2648 -1.8193 1.8079 1.9014 -0.7863 3.5759" Properties=species:S:1:pos:R:3 pbc="T T T"
Cr -0.5452 -1.0466 2.1646
Cr -0.1365 -0.2562 0.5274
As -1.0333 1.4067 2.1667
Ca -1.7150 0.1039 4.8586
```

***

- theoretical density of number 2 (CaCrAs)?
  4.30 g/cm³

***

Repeat the fourth record exactly.
A plane-wave DFT calculation with GGA-PBE was carried out for a geometry-optimized CaCr2As structure.

space-group type = P2/m, No. 10
theoretical density = 4.60 g/cm³
E_tot = -6.156 eV per atom
calculated volume = 79 Å³/cell

Structure (extended XYZ):
```
4
Lattice="-1.3849 4.1162 1.6414 -3.2648 -1.8193 1.8079 1.9014 -0.7863 3.5759" Properties=species:S:1:pos:R:3 pbc="T T T"
Cr -0.5452 -1.0466 2.1646
Cr -0.1365 -0.2562 0.5274
As -1.0333 1.4067 2.1667
Ca -1.7150 0.1039 4.8586
```